# 1
Here is a relaxed structure of NaTa3Br from Alexandria via LeMat-Bulk. Energies are from PBE-GGA.

Structure (POSCAR):
```
NaTa3Br
1.0
4.812 0.000 0.000
0.000 4.812 0.000
0.000 0.000 4.812
Na Ta Br
1 3 1
direct
0.000 0.000 0.000
0.000 0.500 0.500
0.500 0.000 0.500
0.500 0.500 0.000
0.500 0.500 0.500
```

The energy above the lowest structure with this stoichiometry comes out at 0 meV/atom. The value obtained for the calculated total energy is -6.09 eV/atom. The calculation puts the magnetization at 0.00 μB/cell. The symmetry is Pm-3m, No. 221. As for the density of states at the Fermi level: 1.84 states/eV per atom.

# 2
Here is a relaxed structure of NaTaTlBr6 from Alexandria via LeMat-Bulk. Energies are from PBE-GGA.

Structure (POSCAR):
```
NaTaTlBr6
1.0
7.392 0.000 0.000
-3.696 6.402 0.000
0.000 0.000 13.750
Na Ta Tl Br
2 2 2 12
direct
0.333 0.667 0.250
0.667 0.333 0.750
0.333 0.667 0.750
0.667 0.333 0.250
0.000 0.000 0.000
0.000 0.000 0.500
0.041 0.390 0.641
0.041 0.651 0.859
0.349 0.390 0.859
0.349 0.959 0.641
0.390 0.041 0.141
0.390 0.349 0.359
0.610 0.651 0.641
0.610 0.959 0.859
0.651 0.041 0.359
0.651 0.610 0.141
0.959 0.349 0.141
0.959 0.610 0.359
```

The value obtained for the calculated total energy is -3.83 eV/atom. The calculation puts the magnetization at 2.00 μB/cell. The symmetry is P-31c, No. 163. As for the density of states at the Fermi level: 0.71 states/eV per atom.

# 3
Here is a relaxed structure of Na2TaTlBr from Alexandria via LeMat-Bulk. Energies are from PBE-GGA.

Structure (POSCAR):
```
Na2TaTlBr
1.0
5.126 0.000 0.000
0.000 5.126 0.000
0.000 0.000 6.372
Na Ta Tl Br
2 1 1 1
direct
0.000 0.500 0.000
0.500 0.000 0.000
0.000 0.000 0.500
0.500 0.500 0.500
0.500 0.500 0.000
```

The value obtained for the calculated total energy is -2.96 eV/atom. The calculation puts the magnetization at 3.92 μB/cell. The symmetry is P4/mmm, No. 123. As for the density of states at the Fermi level: 0.78 states/eV per atom.

# 4
Here is a relaxed structure of NaYTa2Br from Alexandria via LeMat-Bulk. Energies are from PBE-GGA.

Structure (POSCAR):
```
NaYTa2Br
1.0
5.139 0.000 0.000
0.000 5.139 0.000
0.000 0.000 5.841
Na Y Ta Br
1 1 2 1
direct
0.000 0.000 0.000
0.500 0.500 0.500
0.000 0.500 0.500
0.500 0.000 0.500
0.500 0.500 0.000
```

The value obtained for the calculated total energy is -4.97 eV/atom. The calculation puts the magnetization at 0.00 μB/cell. The symmetry is P4/mmm, No. 123. As for the density of states at the Fermi level: 1.23 states/eV per atom.

# 5
Here is a relaxed structure of Na2YTaBr from Alexandria via LeMat-Bulk. Energies are from PBE-GGA.

Structure (POSCAR):
```
Na2YTaBr
1.0
5.954 0.000 0.000
0.000 5.954 0.000
0.000 0.000 5.305
Na Y Ta Br
2 1 1 1
direct
0.000 0.500 0.000
0.500 0.000 0.000
0.000 0.000 0.500
0.000 0.000 0.000
0.500 0.500 0.500
```

The value obtained for the calculated total energy is -3.53 eV/atom. The calculation puts the magnetization at 2.67 μB/cell. The symmetry is P4/mmm, No. 123. As for the density of states at the Fermi level: 1.33 states/eV per atom.

# 6
Here is a relaxed structure of Na4Tb2Br9 from Alexandria via LeMat-Bulk. Energies are from PBE-GGA.

Structure (POSCAR):
```
Na4Tb2Br9
1.0
7.490 0.000 0.000
3.741 6.494 0.000
0.018 0.033 19.853
Na Tb Br
8 4 18
direct
0.165 0.167 0.174
0.166 0.166 0.983
0.167 0.166 0.482
0.168 0.166 0.675
0.832 0.834 0.325
0.833 0.834 0.518
0.834 0.834 0.017
0.835 0.833 0.826
0.499 0.502 0.161
0.500 0.499 0.339
0.500 0.501 0.661
0.501 0.498 0.839
0.162 0.525 0.413
0.164 0.812 0.913
0.186 0.478 0.087
0.187 0.839 0.587
0.189 0.500 0.750
0.189 0.811 0.250
0.475 0.189 0.587
0.475 0.838 0.087
0.498 0.191 0.250
0.502 0.809 0.750
0.525 0.162 0.913
0.525 0.811 0.413
0.811 0.189 0.750
0.811 0.500 0.250
0.813 0.161 0.413
0.814 0.522 0.913
0.836 0.188 0.087
0.838 0.475 0.587
```

The value obtained for the calculated total energy is -3.63 eV/atom. The calculation puts the magnetization at 2.00 μB/cell. The symmetry is P-1, No. 2.

Q: Which value of magnetization does entry 3 give?
A: 3.92 μB/cell

Q: Which value of magnetization does entry 6 give?
A: 2.00 μB/cell

Copy entry 1 word for word.
Here is a relaxed structure of NaTa3Br from Alexandria via LeMat-Bulk. Energies are from PBE-GGA.

Structure (POSCAR):
```
NaTa3Br
1.0
4.812 0.000 0.000
0.000 4.812 0.000
0.000 0.000 4.812
Na Ta Br
1 3 1
direct
0.000 0.000 0.000
0.000 0.500 0.500
0.500 0.000 0.500
0.500 0.500 0.000
0.500 0.500 0.500
```

The energy above the lowest structure with this stoichiometry comes out at 0 meV/atom. The value obtained for the calculated total energy is -6.09 eV/atom. The calculation puts the magnetization at 0.00 μB/cell. The symmetry is Pm-3m, No. 221. As for the density of states at the Fermi level: 1.84 states/eV per atom.

Q: What is the magnetization in the sixth record?
A: 2.00 μB/cell